Here is crystalline KMoI2O at its relaxed geometry from the Alexandria database. Energies are from PBE with a Hubbard U.

Results
Electronic total energy, eV/cell: -20.90
Total moment, μB per formula unit: 3.00

Geometry as extended XYZ:
```
5
Lattice="-2.2998 -4.3844 -3.6114 5.2182 -0.0916 -3.2119 1.4594 -2.7838 2.4503" Properties=species:S:1:pos:R:3 pbc="T T T"
K 2.1889 -3.6299 -2.1865
O 0.7297 -1.3919 1.2252
I 2.6091 -0.0458 -1.6059
I -1.1499 -2.1922 -1.8057
Mo 0.0000 0.0000 0.0000
```


Here is crystalline KMoI2O at its relaxed geometry from the Alexandria database. Energies are from PBE with a Hubbard U.

Results
Electronic total energy, eV/cell: -13.80
Total moment, μB per formula unit: 3.00

Geometry as extended XYZ:
```
5
Lattice="6.3734 0.0000 0.0000 0.0000 6.3734 0.0000 0.0000 0.0000 4.7313" Properties=species:S:1:pos:R:3 pbc="T T T"
I 3.1867 0.0000 0.0000
I 0.0000 3.1867 0.0000
Mo 3.1867 3.1867 2.3657
O 0.0000 0.0000 2.3657
K 0.0000 0.0000 0.0000
```


Number 2 is which compound?
KMoI2O


Repeat the second record exactly.
Here is crystalline KMoI2O at its relaxed geometry from the Alexandria database. Energies are from PBE with a Hubbard U.

Results
Electronic total energy, eV/cell: -13.80
Total moment, μB per formula unit: 3.00

Geometry as extended XYZ:
```
5
Lattice="6.3734 0.0000 0.0000 0.0000 6.3734 0.0000 0.0000 0.0000 4.7313" Properties=species:S:1:pos:R:3 pbc="T T T"
I 3.1867 0.0000 0.0000
I 0.0000 3.1867 0.0000
Mo 3.1867 3.1867 2.3657
O 0.0000 0.0000 2.3657
K 0.0000 0.0000 0.0000
```


Among the records above, which one has the highest electronic total energy?
number 2